The following is a DFT calculation (PBE) of a geometry-optimized Pm6In2Si structure.

a = 3.9934 Å, b = 8.8029 Å, c = 8.8082 Å
α = 119.98°, β = 90.00°, γ = 90.00°
Last column: nearest neighbours and their distance in Å.
Positions (direct):
Pm 0.5000 0.3899 0.3901  4 In 3.37, 1 Si 3.43, 6 Pm 3.62-3.71
Pm 0.0000 0.7445 0.7446  2 Si 3.01, 2 In 3.33
Pm 0.0000 0.2561 0.0000  2 Si 3.01, 2 In 3.33
Pm 0.0000 0.9999 0.2554  2 Si 3.01, 2 In 3.33
Pm 0.5000 0.6098 0.0000  4 In 3.38, 1 Si 3.44, 6 Pm 3.62-3.70
Pm 0.5000 0.9998 0.6099  4 In 3.37, 1 Si 3.43, 6 Pm 3.62-3.71
Si 0.5000 0.0003 0.0000  6 Pm 3.01
In 0.0000 0.6665 0.3334  9 Pm 3.33-3.38
In 0.0000 0.3331 0.6666  9 Pm 3.33-3.38

Symmetry: P-62m (189)
Crystal system: hexagonal
Final energy in eV per atom: -4.765